Entry 1:
Compound: InSb2C
Source: Alexandria
Functional: GGA-PBE
Structure: optimized geometry

Structure (extended XYZ):
```
8
Lattice="4.500 -0.002 0.000 -0.824 6.849 -0.001 -2.220 -3.116 7.667" Properties=species:S:1:pos:R:3 pbc="T T T"
Sb -0.501 -2.424 6.077
Sb 1.177 0.615 4.520
Sb 3.964 0.832 0.290
Sb -0.277 3.695 0.807
In -1.042 1.545 6.144
In 2.504 5.404 2.967
C 1.017 3.259 2.472
C 1.144 2.323 3.301
```

ΔE to the lowest computed polymorph   62.7 meV/atom
M_tot   0.00 μB per formula unit
Energy relative to the elements, uncorrected   0.49 eV/atom
VASP energy   -4.5633 eV/atom


Entry 2:
Compound: InSb2C
Source: Alexandria
Functional: GGA-PBE
Structure: optimized geometry

Structure (extended XYZ):
```
8
Lattice="-5.624 0.326 2.481 -1.358 -0.998 -2.948 4.453 -9.559 1.184" Properties=species:S:1:pos:R:3 pbc="T T T"
C -3.955 0.196 1.756
C -2.408 -5.083 0.874
In -2.838 -1.709 1.886
In -1.290 -6.988 1.004
Sb -3.016 -4.473 2.903
Sb -1.349 -3.378 -0.191
Sb 1.556 -7.658 1.875
Sb -1.469 -9.752 2.021
```

ΔE to the lowest computed polymorph   224.3 meV/atom
M_tot   0.00 μB per formula unit
Energy relative to the elements, uncorrected   0.65 eV/atom
VASP energy   -4.4017 eV/atom


Entry 3:
Compound: In2SbC
Source: Alexandria
Functional: GGA-PBE
Structure: optimized geometry

Structure (extended XYZ):
```
4
Lattice="-0.924 1.768 4.572 0.239 4.906 0.873 -4.176 2.583 0.878" Properties=species:S:1:pos:R:3 pbc="T T T"
Sb -2.431 4.628 3.162
In -1.215 2.314 1.581
In -3.646 6.943 4.742
C 0.000 0.000 0.000
```

M_tot   0.00 μB per formula unit
Energy relative to the elements, uncorrected   1.38 eV/atom
VASP energy   -3.3292 eV/atom


Entry 4:
Compound: InSb2C
Source: Alexandria
Functional: GGA-PBE
Structure: optimized geometry

Structure (extended XYZ):
```
8
Lattice="5.981 0.000 0.000 0.000 5.981 0.000 2.990 2.990 5.835" Properties=species:S:1:pos:R:3 pbc="T T T"
In 5.981 2.990 2.918
In 0.000 0.000 0.000
Sb 1.994 4.485 1.459
Sb 3.986 1.495 1.459
Sb 4.485 4.985 4.376
Sb 7.476 6.976 4.376
C 2.990 5.981 2.918
C 2.990 2.990 0.000
```

ΔE to the lowest computed polymorph   387.0 meV/atom
M_tot   0.00 μB per formula unit
Energy relative to the elements, uncorrected   0.81 eV/atom
VASP energy   -4.2390 eV/atom


Entry 5:
Compound: InSbC3
Source: Alexandria
Functional: GGA-PBE
Structure: optimized geometry

Structure (extended XYZ):
```
5
Lattice="-3.871 -0.587 -1.932 0.847 -4.264 -0.403 -1.833 -0.733 3.894" Properties=species:S:1:pos:R:3 pbc="T T T"
C -0.916 -0.366 1.947
C 0.424 -2.132 -0.202
C -1.935 -0.293 -0.966
In 0.000 0.000 0.000
Sb -2.428 -2.791 0.779
```

ΔE to the lowest computed polymorph   304.2 meV/atom
M_tot   1.41 μB per formula unit
Energy relative to the elements, uncorrected   2.98 eV/atom
VASP energy   -3.9304 eV/atom


Entry 6:
Compound: InSb2C
Source: Alexandria
Functional: GGA-PBE
Structure: optimized geometry

Structure (extended XYZ):
```
4
Lattice="0.000 3.513 3.513 3.513 0.000 3.513 3.513 3.513 0.000" Properties=species:S:1:pos:R:3 pbc="T T T"
In 3.513 3.513 3.513
Sb 1.756 1.756 1.756
Sb 5.269 5.269 5.269
C 0.000 0.000 0.000
```

ΔE to the lowest computed polymorph   1018.9 meV/atom
M_tot   0.00 μB per formula unit
Energy relative to the elements, uncorrected   1.44 eV/atom
VASP energy   -3.6071 eV/atom